Entry 1:
Computed, not measured: crystalline KBe2Al at its relaxed geometry at the PBE-GGA level of DFT.

Computed properties:
Its formation enthalpy at 0 K is 0.5358 eV per atom. The value obtained for the density of states at the Fermi level is 0.328 states/eV/atom. As for the total energy: -0.093 hartree per atom. As for the space group: No. 25. For the size of the total moment, the calculation gives 0.000 μB/atom.

Lattice parameters (Å, degrees): 2.6911 3.4107 7.8042 90.00 90.00 90.00
Positions (direct):
Be 0.5000 0.5000 0.1405
Be 0.0000 0.0000 0.0469
K 0.0000 0.0000 0.4759
Al 0.5000 0.5000 0.8368



Entry 2:
Computed, not measured: crystalline AcPm2PrEr5 at its relaxed geometry at the PBE-GGA level of DFT.

Computed properties:
Its formation enthalpy at 0 K is 0.2460 eV per atom. The value obtained for the density of states at the Fermi level is 1.092 states/eV/atom. As for the total energy: -0.159 hartree per atom. As for the space group: No. 140. For the size of the total moment, the calculation gives 0.000 μB/atom.

Lattice parameters (Å, degrees): 8.7938 8.7938 10.0197 116.03 116.03 90.00
Positions (direct):
Er 0.4254 0.3369 0.2623
Er 0.8369 0.9254 0.2623
Er 0.1631 0.0746 0.7377
Er 0.0000 0.0000 0.0000
Er 0.5000 0.5000 0.0000
Er 0.5746 0.6631 0.7377
Er 0.6631 0.1631 0.7377
Er 0.0746 0.5746 0.7377
Er 0.9254 0.4254 0.2623
Er 0.3369 0.8369 0.2623
Pm 0.6171 0.1171 0.0000
Pm 0.8829 0.6171 0.0000
Pm 0.3829 0.8829 0.0000
Pm 0.1171 0.3829 0.0000
Ac 0.7500 0.7500 0.5000
Ac 0.2500 0.2500 0.5000
Pr 0.7500 0.2500 0.5000
Pr 0.2500 0.7500 0.5000



Entry 3:
Computed, not measured: crystalline NaEr2Sc3Se6 at its relaxed geometry at the PBE-GGA level of DFT.

Computed properties:
The value obtained for the formation energy (no corrections) is -1.637 eV/atom. The value obtained for the density of states at the Fermi level is 0.391 states/eV/atom. As for the total energy: -0.214 hartree per atom. As for the space group: No. 12. For the size of the total moment, the calculation gives 0.000 μB/atom.

Lattice parameters (Å, degrees): 3.9455 7.9997 8.8899 103.45 102.82 90.00
Positions (direct):
Se 0.3364 0.4123 0.6728
Se 0.0013 0.7403 0.0026
Se 0.9987 0.2597 0.9974
Se 0.6636 0.5877 0.3272
Se 0.6715 0.0760 0.3430
Se 0.3285 0.9240 0.6570
Sc 0.8364 0.1797 0.6728
Sc 0.5000 0.5000 0.0000
Sc 0.1636 0.8203 0.3272
Er 0.8332 0.6629 0.6663
Er 0.1668 0.3371 0.3337
Na 0.5000 0.0000 0.0000



Entry 4:
Computed, not measured: crystalline LiMg at its relaxed geometry at the PBE-GGA level of DFT.

Computed properties:
Its formation enthalpy at 0 K is -0.0233 eV per atom. The value obtained for the density of states at the Fermi level is 0.391 states/eV/atom. As for the total energy: -0.065 hartree per atom. As for the space group: No. 57. For the size of the total moment, the calculation gives 0.000 μB/atom.

Lattice parameters (Å, degrees): 9.8194 8.5509 5.9004 90.00 90.00 90.00
Positions (direct):
Li 0.3880 0.4328 0.2500
Li 0.8690 0.4007 0.2500
Li 0.8819 0.7500 0.0000
Li 0.1310 0.9007 0.2500
Li 0.6120 0.5672 0.7500
Li 0.6120 0.9328 0.2500
Li 0.1310 0.5993 0.7500
Li 0.3880 0.0672 0.7500
Li 0.1181 0.2500 0.0000
Li 0.8690 0.0993 0.7500
Li 0.8819 0.7500 0.5000
Li 0.1181 0.2500 0.5000
Mg 0.6252 0.2500 0.0000
Mg 0.6412 0.6022 0.2500
Mg 0.6412 0.8978 0.7500
Mg 0.6252 0.2500 0.5000
Mg 0.8809 0.0675 0.2500
Mg 0.8809 0.4325 0.7500
Mg 0.3588 0.3978 0.7500
Mg 0.3748 0.7500 0.5000
Mg 0.3748 0.7500 0.0000
Mg 0.1191 0.9325 0.7500
Mg 0.1191 0.5675 0.2500
Mg 0.3588 0.1022 0.2500



Entry 5:
Computed, not measured: crystalline Sr4ScRh at its relaxed geometry at the PBE-GGA level of DFT.

Computed properties:
Its formation enthalpy at 0 K is 0.8938 eV per atom. The value obtained for the density of states at the Fermi level is 1.667 states/eV/atom. As for the total energy: -0.092 hartree per atom. As for the space group: No. 216. For the size of the total moment, the calculation gives 0.398 μB/atom.

Lattice parameters (Å, degrees): 6.8384 6.8384 6.8384 60.00 60.00 60.00
Positions (direct):
Sc 0.0000 0.0000 0.0000
Sr 0.3752 0.8744 0.3752
Sr 0.3752 0.3752 0.8744
Sr 0.3752 0.3752 0.3752
Sr 0.8744 0.3752 0.3752
Rh 0.7500 0.7500 0.7500



Entry 6:
Computed, not measured: crystalline SiMo2Cl at its relaxed geometry at the PBE-GGA level of DFT.

Computed properties:
The value obtained for the formation energy (no corrections) is 0.508 eV/atom. The value obtained for the density of states at the Fermi level is 0.959 states/eV/atom. As for the total energy: -0.247 hartree per atom. As for the space group: No. 47. For the size of the total moment, the calculation gives 0.017 μB/atom.

Lattice parameters (Å, degrees): 2.7521 5.4982 4.3009 90.00 90.00 90.00
Positions (direct):
Si 0.5000 0.0000 0.5000
Cl 0.0000 0.5000 0.5000
Mo 0.0000 0.0000 0.0000
Mo 0.5000 0.5000 0.0000